Material: NiAg2Se
Method: DFT, PBE
State: relaxed

The structure in CIF format:
```
data_NiAg2Se
_chemical_formula_sum 'Ni4 Ag8 Se4'
_space_group_name_H-M_alt 'I -4 2 d'
_space_group_IT_number 122
_space_group_name_Hall 'I -4 2bw'
_cell_length_a 7.4768
_cell_length_b 7.4768
_cell_length_c 5.1969
_cell_angle_alpha 90.00
_cell_angle_beta 90.00
_cell_angle_gamma 90.00
loop_
_atom_site_label
_atom_site_type_symbol
_atom_site_fract_x
_atom_site_fract_y
_atom_site_fract_z
Ni1 Ni 0.0000 0.0000 0.0000
Ag1 Ag 0.2344 0.2500 0.1250
Se1 Se 0.0000 0.0000 0.5000
```

Properties
- DOS at the Fermi energy: 0.4542 states/eV per atom
- Energy: -3.407 eV/atom
- Spin magnetization: 0.000 μB/atom
- Formation energy without anion corrections: 0.335 eV per atom